A relaxed GaAuS2N crystal. Source: Alexandria via LeMat-Bulk, functional PBE.

a b c (Å): 4.9273 4.9273 3.6156
angles (deg): 90.00 90.00 90.00
Last column: nearest neighbours and their distance in Å.
Space group P4/mmm (No. 123)
Unique sites:
Ga (0.0000, 0.0000, 0.0000) [1 per cell]  2 N 1.81
Au (0.5000, 0.5000, 0.5000) [1 per cell]  8 S 3.06
S (0.0000, 0.5000, 0.0000) [2 per cell]  2 Ga 2.46
N (0.0000, 0.0000, 0.5000) [1 per cell]  2 Ga 1.81

Results
- crystal system = tetragonal
- DOS at the Fermi energy (states/eV/f.u.) = 6.309
- uncorrected formation energy (meV per atom) = 987
- total magnetic moment (μB per formula unit) = 0.000
- excess energy over the best structure of this formula in the dataset (meV per atom) = 0.0